{
  "formula": "PuMn2ZnO6",
  "functional": "PBE with a Hubbard U",
  "state": "optimized geometry",
  "cell": [[5.4949, 0.0000, 0.0000], [0.0000, 5.2886, 0.0000], [-5.4799, 0.0000, 8.9489]],
  "species": ["Pu", "Pu", "Mn", "Mn", "Mn", "Mn", "Zn", "Zn", "O", "O", "O", "O", "O", "O", "O", "O", "O", "O", "O", "O"],
  "frac_coords": [[0.0000, 0.0000, 0.0000], [0.0000, 0.5000, 0.5000], [0.2961, 0.0009, 0.7955], [0.2961, 0.4991, 0.2955], [0.7039, 0.5009, 0.7045], [0.7039, 0.9991, 0.2045], [0.5000, 0.0000, 0.5000], [0.5000, 0.5000, 0.0000], [0.0057, 0.7235, 0.3386], [0.0057, 0.7765, 0.8386], [0.3276, 0.7280, 0.6593], [0.3276, 0.7720, 0.1593], [0.3430, 0.1995, 0.0008], [0.3430, 0.3005, 0.5008], [0.6570, 0.6995, 0.4992], [0.6570, 0.8005, 0.9992], [0.6724, 0.2280, 0.8407], [0.6724, 0.2720, 0.3407], [0.9943, 0.2235, 0.1614], [0.9943, 0.2765, 0.6614]],
  "magnetic_moment_mub_per_fu": 12.00,
  "energy_ev_per_fu": -79.5,
  "dos_at_fermi_per_ev_atom": 0.6059,
  "rho_g_cm3": 6.58
}